The following is a GGA-PBE calculation of an optimized crystal structure of Sm6TlIr2Se3, from the Alexandria database.

Lattice parameters (Å, degrees): 4.117 8.757 9.830 110.82 102.09 90.00
Atoms (fractional coordinates):
Se  0.834  0.181  0.669
Se  0.500  0.500  0.000
Se  0.166  0.819  0.331
Sm  0.681  0.548  0.361
Sm  0.998  0.267  0.997
Sm  0.674  0.090  0.348
Sm  0.002  0.733  0.003
Sm  0.319  0.452  0.639
Sm  0.326  0.910  0.652
Ir  0.843  0.698  0.687
Ir  0.157  0.302  0.313
Tl  0.500  0.000  0.000

Calculated values
Energy in eV per atom: -6.0568
Symmetry: C2/m (12)